Entry from Alexandria: an optimized crystal structure of LiSe (GGA-PBE).

a b c (Å): 6.161 6.161 6.161
angles (deg): 41.73 41.73 41.73
Atoms (fractional coordinates):
Li (0.098, 0.098, 0.098)
Li (0.902, 0.902, 0.902)
Se (0.427, 0.427, 0.427)
Se (0.573, 0.573, 0.573)

Calculated values
Magnetization (Bohr magnetons per cell): 0.0
Relative energy among the computed polymorphs (eV/atom): 0.1037
Calculated volume (Å³/f.u.): 46.8
Formation energy from raw total energies (eV per atom): -0.806

=====

Entry from Alexandria: an optimized crystal structure of Cs2BBr5 (GGA-PBE).

a b c (Å): 7.108 7.108 9.234
angles (deg): 112.78 112.78 89.50
Atoms (fractional coordinates):
Cs (0.249, 0.751, 0.000)
Cs (0.751, 0.249, 0.000)
B (0.989, 0.989, 0.477)
Br (0.085, 0.085, 0.332)
Br (0.230, 0.891, 0.622)
Br (0.298, 0.298, 0.093)
Br (0.748, 0.748, 0.327)
Br (0.891, 0.230, 0.622)

Calculated values
Magnetization (Bohr magnetons per cell): 0.1
Calculated volume (Å³/f.u.): 391.1
Formation energy from raw total energies (eV per atom): -1.082

=====

Entry from Alexandria: an optimized crystal structure of Ca3Mg2Pd4 (GGA-PBE).

a b c (Å): 5.651 5.651 8.888
angles (deg): 97.13 97.13 46.13
Atoms (fractional coordinates):
Ca (0.000, 0.000, 0.000)
Ca (0.375, 0.375, 0.613)
Ca (0.625, 0.625, 0.387)
Mg (0.321, 0.321, 0.215)
Mg (0.679, 0.679, 0.785)
Pd (0.088, 0.088, 0.632)
Pd (0.280, 0.280, 0.909)
Pd (0.720, 0.720, 0.091)
Pd (0.912, 0.912, 0.368)

Calculated values
Magnetization (Bohr magnetons per cell): 0.0
Calculated volume (Å³/f.u.): 202.7
Formation energy (kJ per mole of atoms): -62.5

=====

Entry from Alexandria: an optimized crystal structure of ZnGa2Cl4 (GGA-PBE).

a b c (Å): 14.346 9.074 6.685
angles (deg): 90.00 90.00 90.00
Atoms (fractional coordinates):
Zn (0.094, 0.250, 0.092)
Zn (0.406, 0.750, 0.592)
Zn (0.594, 0.250, 0.408)
Zn (0.906, 0.750, 0.908)
Ga (0.000, 0.000, 0.500)
Ga (0.000, 0.500, 0.500)
Ga (0.230, 0.750, 0.012)
Ga (0.270, 0.250, 0.512)
Ga (0.500, 0.000, 0.000)
Ga (0.500, 0.500, 0.000)
Ga (0.730, 0.750, 0.488)
Ga (0.770, 0.250, 0.988)
Cl (0.055, 0.750, 0.772)
Cl (0.086, 0.250, 0.752)
Cl (0.170, 0.051, 0.230)
Cl (0.170, 0.449, 0.230)
Cl (0.330, 0.551, 0.730)
Cl (0.330, 0.949, 0.730)
Cl (0.414, 0.750, 0.252)
Cl (0.445, 0.250, 0.272)
Cl (0.555, 0.750, 0.728)
Cl (0.586, 0.250, 0.748)
Cl (0.670, 0.051, 0.270)
Cl (0.670, 0.449, 0.270)
Cl (0.830, 0.551, 0.770)
Cl (0.830, 0.949, 0.770)
Cl (0.914, 0.750, 0.248)
Cl (0.945, 0.250, 0.228)

Calculated values
Magnetization (Bohr magnetons per cell): 0.0
Calculated volume (Å³/f.u.): 217.6
Formation energy from raw total energies (eV per atom): -0.896

=====

Entry from Alexandria: an optimized crystal structure of TbSmHo4 (GGA-PBE).

a b c (Å): 6.564 6.564 6.564
angles (deg): 60.00 60.00 60.00
Atoms (fractional coordinates):
Tb (0.000, 0.000, 0.000)
Sm (0.750, 0.750, 0.750)
Ho (0.375, 0.375, 0.375)
Ho (0.375, 0.375, 0.876)
Ho (0.375, 0.876, 0.375)
Ho (0.876, 0.375, 0.375)

Calculated values
Magnetization (Bohr magnetons per cell): 1.1
Relative energy among the computed polymorphs (eV/atom): 0.2615
Calculated volume (Å³/f.u.): 200.0
Formation energy (kJ per mole of atoms): 27.0

=====

Entry from Alexandria: an optimized crystal structure of CdInN2 (GGA-PBE).

a b c (Å): 6.690 6.690 6.690
angles (deg): 29.63 29.63 29.63
Atoms (fractional coordinates):
Cd (0.000, 0.000, 0.000)
In (0.500, 0.500, 0.500)
N (0.108, 0.108, 0.108)
N (0.892, 0.892, 0.892)

Calculated values
Magnetization (Bohr magnetons per cell): 0.0
Relative energy among the computed polymorphs (eV/atom): 0.5268
Calculated volume (Å³/f.u.): 64.8
Formation energy from raw total energies (eV per atom): 0.731

=====

Entry from Alexandria: an optimized crystal structure of RbHoSnCl6 (GGA-PBE).

a b c (Å): 7.264 7.264 7.104
angles (deg): 90.00 90.00 120.00
Atoms (fractional coordinates):
Rb (0.000, 0.000, 0.000)
Ho (0.333, 0.667, 0.500)
Sn (0.667, 0.333, 0.500)
Cl (0.022, 0.383, 0.286)
Cl (0.022, 0.640, 0.714)
Cl (0.360, 0.383, 0.714)
Cl (0.360, 0.978, 0.286)
Cl (0.617, 0.640, 0.286)
Cl (0.617, 0.978, 0.714)

Calculated values
Magnetization (Bohr magnetons per cell): 0.0
Calculated volume (Å³/f.u.): 324.7
Formation energy from raw total energies (eV per atom): -1.828

=====

Entry from Alexandria: an optimized crystal structure of TbSm3C8 (GGA-PBE).

a b c (Å): 6.346 6.346 6.346
angles (deg): 111.41 111.41 105.67
Atoms (fractional coordinates):
Tb (0.000, 0.000, 0.000)
Sm (0.250, 0.750, 0.500)
Sm (0.500, 0.500, 0.000)
Sm (0.750, 0.250, 0.500)
C (0.065, 0.389, 0.000)
C (0.136, 0.136, 0.533)
C (0.389, 0.065, 0.000)
C (0.397, 0.864, 0.000)
C (0.603, 0.603, 0.467)
C (0.611, 0.611, 0.676)
C (0.864, 0.397, 0.000)
C (0.935, 0.935, 0.324)

Calculated values
Magnetization (Bohr magnetons per cell): 0.0
Calculated volume (Å³/f.u.): 196.1
Formation energy (kJ per mole of atoms): 13.8

=====

Entry from Alexandria: an optimized crystal structure of HfTi2CdW (GGA-PBE).

a b c (Å): 4.753 4.753 5.125
angles (deg): 90.00 90.00 90.00
Atoms (fractional coordinates):
Hf (0.000, 0.000, 0.000)
Ti (0.000, 0.500, 0.500)
Ti (0.500, 0.000, 0.500)
Cd (0.000, 0.000, 0.500)
W (0.500, 0.500, 0.000)

Calculated values
Magnetization (Bohr magnetons per cell): 0.0
Calculated volume (Å³/f.u.): 115.8
Formation energy (kJ per mole of atoms): 175.2

=====

Entry from Alexandria: an optimized crystal structure of Ag3AuF2 (GGA-PBE).

a b c (Å): 6.981 6.981 6.981
angles (deg): 155.70 132.02 54.49
Atoms (fractional coordinates):
Ag (0.000, 0.000, 0.000)
Ag (0.311, 0.311, 0.000)
Ag (0.689, 0.689, 0.000)
Au (0.500, 0.000, 0.500)
F (0.161, 0.661, 0.500)
F (0.839, 0.339, 0.500)

Calculated values
Magnetization (Bohr magnetons per cell): 0.0
Calculated volume (Å³/f.u.): 103.5
Formation energy from raw total energies (eV per atom): -0.570

=====

Entry from Alexandria: an optimized crystal structure of Pd2Pb2Au (GGA-PBE).

a b c (Å): 7.386 7.386 3.881
angles (deg): 90.00 90.00 90.00
Atoms (fractional coordinates):
Pd (0.137, 0.363, 0.000)
Pd (0.363, 0.863, 0.000)
Pd (0.637, 0.137, 0.000)
Pd (0.863, 0.637, 0.000)
Pb (0.165, 0.665, 0.500)
Pb (0.335, 0.165, 0.500)
Pb (0.665, 0.835, 0.500)
Pb (0.835, 0.335, 0.500)
Au (0.000, 0.000, 0.000)
Au (0.500, 0.500, 0.000)

Calculated values
Magnetization (Bohr magnetons per cell): 0.0
Relative energy among the computed polymorphs (eV/atom): 0.0000
Calculated volume (Å³/f.u.): 105.9
Formation energy (kJ per mole of atoms): -15.9

=====

Entry from Alexandria: an optimized crystal structure of Pr4Ho (GGA-PBE).

a b c (Å): 15.139 15.139 15.139
angles (deg): 13.95 13.95 13.95
Atoms (fractional coordinates):
Pr (0.102, 0.102, 0.102)
Pr (0.299, 0.299, 0.299)
Pr (0.701, 0.701, 0.701)
Pr (0.898, 0.898, 0.898)
Ho (0.500, 0.500, 0.500)

Calculated values
Magnetization (Bohr magnetons per cell): 0.0
Relative energy among the computed polymorphs (eV/atom): 0.0000
Calculated volume (Å³/f.u.): 175.6
Formation energy (kJ per mole of atoms): 1.2